# PBE-GGA Zn2Ga5Hg, relaxed
data_Zn2Ga5Hg
_symmetry_space_group_name_H-M 'C 1 2/m 1'
_symmetry_Int_Tables_number 12
_symmetry_space_group_name_Hall '-C 2y'
_cell_length_a 7.5480
_cell_length_b 7.4612
_cell_length_c 6.1885
_cell_angle_alpha 90.00
_cell_angle_beta 92.30
_cell_angle_gamma 90.00
loop_
_atom_site_label
_atom_site_type_symbol
_atom_site_fract_x
_atom_site_fract_y
_atom_site_fract_z
_atom_site_occupancy
Zn1 Zn 0.2268 0.0000 0.1955 1
Ga1 Ga 0.0000 0.0000 0.5000 1
Ga2 Ga 0.1193 0.1907 0.8417 1
Hg1 Hg 0.0000 0.5000 0.5000 1
# **Formation energy**: 0.12 eV per atom
# **Magnetization**: 0.0 μB/cell